(1)
HfMg2Sc2: relaxed, PBE.

Values from the calculation:
* space group: I4/mmm, No. 139
* magnetization: 0.0 μB/f.u.
* distance to the lowest polymorph of the same formula: 544 meV/atom
* calculated volume: 23.8 Å³/atom
* energy relative to the elements: 497 meV/atom

```
HfMg2Sc2
1.0
4.0430 0.0000 0.0000
0.0000 4.0430 0.0000
2.0215 2.0215 7.2731
Sc Mg Hf
2 2 1
Direct
0.7500 0.2500 0.5000
0.2500 0.7500 0.5000
0.4065 0.4065 0.1871
0.5935 0.5935 0.8129
0.0000 0.0000 0.0000
```

(2)
Hf2Mg2Sc7: relaxed, PBE.

Values from the calculation:
* space group: Imm2, No. 44
* magnetization: 0.0 μB/f.u.
* calculated volume: 24.3 Å³/atom
* energy relative to the elements: 143 meV/atom

```
Hf2Mg2Sc7
1.0
-0.6121 0.8946 -3.0730
5.4929 -8.3794 -3.5336
-8.8951 -0.5091 3.3514
Hf Mg Sc
2 2 7
Direct
0.3860 0.0072 0.7719
0.6140 0.2353 0.2281
0.0000 0.6268 0.0000
0.5000 0.3766 0.0000
0.1687 0.0546 0.3373
0.1676 0.5233 0.3351
0.5000 0.8864 0.0000
0.2934 0.4124 0.5867
0.7066 0.8257 0.4133
0.8313 0.7173 0.6627
0.8324 0.1882 0.6649
```

(3)
HfMgSc3: relaxed, PBE.

Values from the calculation:
* space group: Pm-3m, No. 221
* magnetization: 0.0 μB/f.u.
* distance to the lowest polymorph of the same formula: 897 meV/atom
* calculated volume: 26.7 Å³/atom
* energy relative to the elements: 934 meV/atom

```
HfMgSc3
1.0
5.1084 0.0000 0.0000
0.0000 5.1084 0.0000
0.0000 0.0000 5.1084
Sc Mg Hf
3 1 1
Direct
0.0000 0.5000 0.0000
0.0000 0.0000 0.5000
0.5000 0.0000 0.0000
0.0000 0.0000 0.0000
0.5000 0.5000 0.5000
```

(4)
HfMg2Sc2: relaxed, PBE.

Values from the calculation:
* space group: P4/mbm, No. 127
* magnetization: 0.1 μB/f.u.
* distance to the lowest polymorph of the same formula: 274 meV/atom
* calculated volume: 22.8 Å³/atom
* energy relative to the elements: 226 meV/atom

```
HfMg2Sc2
1.0
8.2943 0.0000 0.0000
0.0000 8.2943 0.0000
0.0000 0.0000 3.3135
Hf Mg Sc
2 4 4
Direct
0.0000 0.0000 0.0000
0.5000 0.5000 0.0000
0.3353 0.8353 0.5000
0.8353 0.6647 0.5000
0.6647 0.1647 0.5000
0.1647 0.3353 0.5000
0.1352 0.6352 0.0000
0.6352 0.8648 0.0000
0.8648 0.3648 0.0000
0.3648 0.1352 0.0000
```

(5)
HfMgSc3: relaxed, PBE.

Values from the calculation:
* space group: Pm-3m, No. 221
* magnetization: 0.0 μB/f.u.
* distance to the lowest polymorph of the same formula: 701 meV/atom
* calculated volume: 28.9 Å³/atom
* energy relative to the elements: 737 meV/atom

```
HfMgSc3
1.0
5.2506 0.0000 0.0000
0.0000 5.2506 0.0000
0.0000 0.0000 5.2506
Sc Mg Hf
3 1 1
Direct
0.0000 0.5000 0.0000
0.0000 0.0000 0.5000
0.5000 0.0000 0.0000
0.5000 0.5000 0.5000
0.0000 0.0000 0.0000
```

(6)
HfMgSc: relaxed, PBE.

Values from the calculation:
* space group: I4mm, No. 107
* magnetization: 0.0 μB/f.u.
* distance to the lowest polymorph of the same formula: 6 meV/atom
* calculated volume: 22.9 Å³/atom
* energy relative to the elements: -19 meV/atom

```
HfMgSc
1.0
3.2080 0.0000 0.0000
0.0000 3.2080 0.0000
-1.6040 -1.6040 6.6879
Sc Mg Hf
1 1 1
Direct
0.0064 0.0064 0.0129
0.3309 0.3309 0.6618
0.6627 0.6627 0.3253
```

(7)
HfMg3Sc: relaxed, PBE.

Values from the calculation:
* space group: Pm-3m, No. 221
* magnetization: 0.0 μB/f.u.
* distance to the lowest polymorph of the same formula: 0 meV/atom
* calculated volume: 30.4 Å³/atom
* energy relative to the elements: 1145 meV/atom

```
HfMg3Sc
1.0
5.3388 0.0000 0.0000
0.0000 5.3388 0.0000
0.0000 0.0000 5.3388
Sc Mg Hf
1 3 1
Direct
0.5000 0.5000 0.5000
0.0000 0.5000 0.0000
0.0000 0.0000 0.5000
0.5000 0.0000 0.0000
0.0000 0.0000 0.0000
```

(8)
HfMg2Sc2: relaxed, PBE.

Values from the calculation:
* space group: P4/mbm, No. 127
* magnetization: 0.0 μB/f.u.
* distance to the lowest polymorph of the same formula: 252 meV/atom
* calculated volume: 23.1 Å³/atom
* energy relative to the elements: 204 meV/atom

```
HfMg2Sc2
1.0
-6.0696 -0.7613 5.5842
-1.3342 -7.7794 -2.5107
2.2223 -1.1118 2.2639
Sc Mg Hf
4 4 2
Direct
0.1745 0.6745 0.5000
0.6745 0.8255 0.5000
0.8255 0.3255 0.5000
0.3255 0.1745 0.5000
0.3737 0.8737 0.0000
0.8737 0.6263 0.0000
0.6263 0.1263 0.0000
0.1263 0.3737 0.0000
0.0000 0.0000 0.0000
0.5000 0.5000 0.0000
```

(9)
HfMg3Sc4: relaxed, PBE.

Values from the calculation:
* space group: P4/mmm, No. 123
* magnetization: 0.2 μB/f.u.
* calculated volume: 23.4 Å³/atom
* energy relative to the elements: -27 meV/atom

```
HfMg3Sc4
1.0
3.2423 0.0000 0.0000
0.0000 3.2423 0.0000
0.0000 0.0000 17.7711
Sc Mg Hf
4 3 1
Direct
0.0000 0.0000 0.8786
0.0000 0.0000 0.1214
0.0000 0.0000 0.3755
0.0000 0.0000 0.6245
0.5000 0.5000 0.2515
0.5000 0.5000 0.5000
0.5000 0.5000 0.7485
0.5000 0.5000 0.0000
```

(10)
HfMgSc2: relaxed, PBE.

Values from the calculation:
* space group: R3m, No. 160
* magnetization: 0.0 μB/f.u.
* calculated volume: 23.6 Å³/atom
* energy relative to the elements: 24 meV/atom

```
HfMgSc2
1.0
-1.7921 -2.0615 1.6917
-0.4523 -2.9935 -1.0759
7.8492 -4.8647 5.4377
Hf Mg Sc
1 1 2
Direct
0.6665 0.6665 0.0004
0.5003 0.5003 0.4992
0.0797 0.0797 0.7610
0.2535 0.2535 0.2394
```

(11)
HfMg2Sc2: relaxed, PBE.

Values from the calculation:
* space group: I4/mmm, No. 139
* magnetization: 0.0 μB/f.u.
* distance to the lowest polymorph of the same formula: 0 meV/atom
* calculated volume: 23.1 Å³/atom
* energy relative to the elements: -48 meV/atom

```
HfMg2Sc2
1.0
-1.6186 -0.0613 2.7954
-2.7907 -0.1635 -1.6195
2.7950 -10.9516 -0.4886
Hf Mg Sc
1 2 2
Direct
0.0000 0.0000 0.0000
0.7978 0.7978 0.5956
0.2022 0.2022 0.4044
0.5979 0.5979 0.1957
0.4021 0.4021 0.8043
```

(12)
HfMgSc5: relaxed, PBE.

Values from the calculation:
* space group: C2/c, No. 15
* magnetization: 0.0 μB/f.u.
* calculated volume: 24.0 Å³/atom
* energy relative to the elements: 223 meV/atom

```
HfMgSc5
1.0
8.0666 2.1260 1.4462
4.5754 6.9754 1.4462
6.7133 4.8332 8.7558
Hf Mg Sc
2 2 10
Direct
0.0000 0.0000 0.0000
0.0000 0.0000 0.5000
0.7508 0.2492 0.2500
0.2492 0.7508 0.7500
0.6589 0.6694 0.2553
0.2616 0.2596 0.5872
0.6694 0.6589 0.7553
0.2129 0.7871 0.2500
0.7404 0.7384 0.9128
0.2596 0.2616 0.0872
0.7871 0.2129 0.7500
0.3306 0.3411 0.2447
0.7384 0.7404 0.4128
0.3411 0.3306 0.7447
```

Q: Which total DFT energy (no corrections) values were calculated for the entries above? A: -4.664, -5.986, -5.175, -4.935, -5.371, -5.979, -3.068, -4.957, -5.035, -6.029, -5.209, -5.950, in eV per atom.